VASP calculation (PBE) on an optimized crystal structure of Hf4CuIr3.

abc: 4.6812 4.6812 12.8958
angles: 90.00 90.00 90.00
Last column: nearest neighbours and their distance in Å.
Space group I4/mmm (No. 139)
Symmetry-distinct sites (fractional):
Hf 0.0000 0.5000 0.1242 [8 per cell]  6 Ir 2.73-2.98, 2 Cu 2.84
Cu 0.0000 0.0000 0.0000 [2 per cell]  8 Hf 2.84, 2 Ir 3.00
Ir 0.0000 0.0000 0.2329 [4 per cell]  8 Hf 2.73-2.98, 1 Cu 3.00
Ir 0.0000 0.0000 0.5000 [2 per cell]  8 Hf 2.84

Results
- DFT total energy: -9.58 eV/atom


VASP calculation (PBE) on an optimized crystal structure of TiCr2Re.

abc: 5.9854 5.9854 5.9854
angles: 90.00 90.00 90.00
Last column: nearest neighbours and their distance in Å.
Space group Fm-3m (No. 225)
Symmetry-distinct sites (fractional):
Ti 0.0000 0.0000 0.0000 [4 per cell]  8 Cr 2.59
Cr 0.2500 0.2500 0.2500 [8 per cell]  4 Re 2.59, 4 Ti 2.59
Re 0.0000 0.0000 0.5000 [4 per cell]  8 Cr 2.59

Results
- Energy above the lowest structure with this stoichiometry: 0.000 eV/atom


VASP calculation (PBE) on an optimized crystal structure of SiRu2IO.

abc: 4.4875 4.4875 5.2980
angles: 90.00 90.00 90.00
Last column: nearest neighbours and their distance in Å.
Space group P4/mmm (No. 123)
Symmetry-distinct sites (fractional):
Si 0.0000 0.0000 0.0000 [1 per cell]  4 Ru 2.24
Ru 0.0000 0.5000 0.0000 [2 per cell]  2 Si 2.24
I 0.0000 0.0000 0.5000 [1 per cell]  2 Si 2.65
O 0.5000 0.5000 0.5000 [1 per cell]  4 I 3.17, 8 Ru 3.47

Results
- Formation energy from raw total energies: 1.5446 eV per atom


VASP calculation (PBE) on an optimized crystal structure of ZnSb2Br2.

abc: 7.3158 7.3158 5.6230
angles: 90.00 90.00 90.00
Last column: nearest neighbours and their distance in Å.
Space group P4/mbm (No. 127)
Symmetry-distinct sites (fractional):
Zn 0.0000 0.0000 0.0000 [2 per cell]  4 Sb 2.81
Sb 0.1428 0.3572 0.0000 [4 per cell]  2 Zn 2.81, 2 Br 2.84, 1 Sb 2.95
Br 0.1804 0.3196 0.5000 [4 per cell]  2 Sb 2.84

Results
- Formation energy from raw total energies: -0.1664 eV per atom
- Energy above the lowest structure with this stoichiometry: 0.000 eV/atom


VASP calculation (PBE) on an optimized crystal structure of Pm2PrAl.

abc: 3.7050 3.7050 32.1215
angles: 90.00 90.00 120.00
Last column: nearest neighbours and their distance in Å.
Space group R3m (No. 160, hexagonal axes)
Symmetry-distinct sites (fractional):
Pm 0.0000 0.0000 0.0000 [3 per cell]  3 Al 3.11
Pm 0.0000 0.0000 0.1916 [3 per cell]  3 Al 3.13
Pr 0.0000 0.0000 0.7626 [3 per cell]  6 Pr 3.71, 6 Pm 3.75
Al 0.0000 0.0000 0.5963 [3 per cell]  6 Pm 3.11-3.13

Results
- Energy above the lowest structure with this stoichiometry: 0.125 eV/atom


VASP calculation (PBE) on an optimized crystal structure of Mg2PRu.

abc: 8.6784 8.6784 4.4335
angles: 90.00 90.00 90.00
Last column: nearest neighbours and their distance in Å.
Space group I-42d (No. 122)
Symmetry-distinct sites (fractional):
Mg 0.1272 0.2500 0.1250 [8 per cell]  2 P 2.50
P 0.0000 0.0000 0.0000 [4 per cell]  2 Ru 2.22
Ru 0.0000 0.0000 0.5000 [4 per cell]  2 P 2.22

Results
- DFT total energy: -4.35 eV/atom


VASP calculation (PBE) on an optimized crystal structure of Mn11Pd4Pt9.

abc: 13.5904 18.6115 2.8946
angles: 90.00 90.00 90.00
Last column: nearest neighbours and their distance in Å.
Space group Cmmm (No. 65)
Symmetry-distinct sites (fractional):
Mn 0.0000 0.0000 0.0000 [2 per cell]  8 Pt 2.73, 4 Mn 2.86-2.89
Mn 0.0000 0.1885 0.0000 [4 per cell]  8 Pt 2.65-2.69, 2 Mn 2.89
Mn 0.0000 0.3738 0.0000 [4 per cell]  6 Pt 2.76-2.81, 4 Pd 2.85, 2 Mn 2.89
Mn 0.2107 0.0000 0.0000 [4 per cell]  4 Pd 2.64, 4 Pt 2.69, 3 Mn 2.86-2.89
Mn 0.2308 0.1771 0.0000 [8 per cell]  6 Pt 2.67-2.81, 2 Pd 2.70, 3 Mn 2.76-2.89
Pd 0.1684 0.4211 0.5000 [8 per cell]  6 Mn 2.64-2.85, 2 Pt 2.72-2.84, 3 Pd 2.89-2.94
Pt 0.0000 0.5000 0.5000 [2 per cell]  4 Pd 2.72, 4 Mn 2.76, 2 Pt 2.89
Pt 0.1083 0.0960 0.5000 [8 per cell]  8 Mn 2.67-2.73, 3 Pt 2.89-2.94
Pt 0.1134 0.2740 0.5000 [8 per cell]  8 Mn 2.65-2.81, 1 Pd 2.84, 2 Pt 2.89

Results
- DFT total energy: -7.62 eV/atom


VASP calculation (PBE) on an optimized crystal structure of La2MgIr.

abc: 4.2215 4.2215 25.3734
angles: 90.00 90.00 120.00
Last column: nearest neighbours and their distance in Å.
Space group R3m (No. 160, hexagonal axes)
Symmetry-distinct sites (fractional):
La 0.0000 0.0000 0.0000 [3 per cell]  3 Ir 2.89
La 0.0000 0.0000 0.2122 [3 per cell]  3 Ir 2.87
Mg 0.0000 0.0000 0.4402 [3 per cell]  6 La 3.62-3.65
Ir 0.0000 0.0000 0.6053 [3 per cell]  6 La 2.87-2.89

Results
- DFT total energy: -5.48 eV/atom


VASP calculation (PBE) on an optimized crystal structure of BaTcRh3.

abc: 4.8165 4.8165 4.8165
angles: 90.00 90.00 90.00
Last column: nearest neighbours and their distance in Å.
Space group Pm-3m (No. 221)
Symmetry-distinct sites (fractional):
Ba 0.0000 0.0000 0.0000 [1 per cell]  12 Rh 3.41
Tc 0.5000 0.5000 0.5000 [1 per cell]  6 Rh 2.41
Rh 0.0000 0.5000 0.5000 [3 per cell]  2 Tc 2.41

Results
- Energy above the lowest structure with this stoichiometry: 0.000 eV/atom


VASP calculation (PBE) on an optimized crystal structure of MgGaAg2Se4.

abc: 6.0391 6.0391 11.5732
angles: 90.00 90.00 90.00
Last column: nearest neighbours and their distance in Å.
Space group I-4 (No. 82)
Symmetry-distinct sites (fractional):
Mg 0.0000 0.0000 0.0000 [2 per cell]  4 Se 2.60
Ga 0.0000 0.5000 0.2500 [2 per cell]  4 Se 2.45
Ag 0.0000 0.0000 0.5000 [2 per cell]  4 Se 2.63
Ag 0.0000 0.5000 0.7500 [2 per cell]  4 Se 2.65
Se 0.2331 0.2620 0.1298 [8 per cell]  1 Ga 2.45, 1 Mg 2.60, 2 Ag 2.63-2.65

Results
- Formation energy from raw total energies: -0.4974 eV per atom


VASP calculation (PBE) on an optimized crystal structure of Dy8GaSn2.

abc: 19.2613 5.0406 6.7045
angles: 90.00 104.34 90.00
Last column: nearest neighbours and their distance in Å.
Space group C2/m (No. 12)
Symmetry-distinct sites (fractional):
Dy 0.0194 0.0000 0.2765 [4 per cell]  2 Ga 3.00, 1 Sn 3.14, 1 Dy 3.26
Dy 0.0909 0.5000 0.9697 [4 per cell]  1 Ga 3.20, 2 Sn 3.38, 3 Dy 3.44-3.46
Dy 0.1529 0.5000 0.4999 [4 per cell]  1 Ga 2.95, 3 Sn 3.12-3.21
Dy 0.2164 0.0000 0.8203 [4 per cell]  3 Sn 3.17-3.32, 4 Dy 3.34-3.51
Ga 0.0000 0.5000 0.5000 [2 per cell]  8 Dy 2.95-3.20
Sn 0.1808 0.0000 0.2577 [4 per cell]  9 Dy 3.12-3.38

Results
- DFT total energy: -4.72 eV/atom


VASP calculation (PBE) on an optimized crystal structure of RbNa2SnI.

abc: 5.9852 5.9852 6.7387
angles: 90.00 90.00 90.00
Last column: nearest neighbours and their distance in Å.
Space group P4/mmm (No. 123)
Symmetry-distinct sites (fractional):
Rb 0.0000 0.0000 0.0000 [1 per cell]  4 Sn 4.23, 8 Na 4.51
Na 0.0000 0.5000 0.5000 [2 per cell]  2 I 2.99
Sn 0.5000 0.5000 0.0000 [1 per cell]  2 I 3.37
I 0.5000 0.5000 0.5000 [1 per cell]  4 Na 2.99

Results
- Formation energy from raw total energies: -0.0966 eV per atom